# NbVRhS2

A relaxed NbVRhS2 crystal (PBE, the Alexandria database).

Output
DOS(E_F) = 2.09 states/eV per atom
theoretical density = 4.87 Mg/m³
calculated total energy = -6.302 eV/atom
formation energy (no corrections) = 0.66 eV per atom
space-group type = P4/mmm (123)

abc: 4.6830 4.8294 4.6830
angles: 90.00 90.00 90.00
Last column: nearest neighbours and their distance in Å.
Fractional positions:
1 Nb 0.0000 0.0000 0.0000  4 S 2.34, 2 Rh 2.41
2 Rh 0.0000 0.5000 0.0000  2 Nb 2.41
3 S 0.0000 0.0000 0.5000  2 Nb 2.34
4 S 0.5000 0.0000 0.0000  2 Nb 2.34
5 V 0.5000 0.5000 0.5000  4 Rh 3.31, 8 S 3.36